1.
Material: LiBeCl
Method: DFT, GGA-PBEsol
State: optimized geometry

Values from the calculation:
- DOS at the Fermi energy (states/eV per atom) = 0.012
- ΔE_f (raw) (eV/f.u.) = 0.6
- total DFT energy (no corrections) (eV/cell) = -29.546
- excess energy over the best structure of this formula in the dataset (meV per atom) = 463

abc: 6.1706 6.1706 6.1706
angles: 90.00 90.00 90.00
Closest atoms and distances in Å follow each position.
Space group F-43m (No. 216)
Inequivalent atoms, fractional coordinates:
1 Li 0.0000 0.0000 0.0000  4 Cl 2.67, 4 Be 2.67
2 Be 0.2500 0.2500 0.7500  4 Li 2.67
3 Cl 0.2500 0.2500 0.2500  4 Li 2.67



2.
Material: Na3YNb
Method: DFT, GGA-PBEsol
State: optimized geometry

Values from the calculation:
- formation enthalpy at 0 K (eV/atom) = 1.9482
- DOS at the Fermi energy (states/eV per atom) = 1.639
- total DFT energy (no corrections) (eV/cell) = -12.102

abc: 5.7726 5.7726 5.7726
angles: 90.00 90.00 90.00
Closest atoms and distances in Å follow each position.
Space group Pm-3m (No. 221)
Inequivalent atoms, fractional coordinates:
1 Na 0.0000 0.0000 0.5000  2 Y 2.89
2 Y 0.0000 0.0000 0.0000  6 Na 2.89
3 Nb 0.5000 0.5000 0.5000  12 Na 4.08



3.
Material: ScMnPt
Method: DFT, GGA-PBEsol
State: optimized geometry

Values from the calculation:
- formation enthalpy at 0 K (eV/atom) = 0.1528
- DOS at the Fermi energy (states/eV per atom) = 0.792
- total DFT energy (no corrections) (eV/cell) = -91.485

abc: 6.0591 6.0591 6.0591
angles: 90.00 90.00 90.00
Closest atoms and distances in Å follow each position.
Space group F-43m (No. 216)
Inequivalent atoms, fractional coordinates:
1 Sc 0.0000 0.0000 0.0000  4 Mn 2.62, 4 Pt 2.62
2 Mn 0.2500 0.2500 0.7500  4 Sc 2.62
3 Pt 0.2500 0.2500 0.2500  4 Sc 2.62



4.
Material: PbS2I
Method: DFT, GGA-PBEsol
State: optimized geometry

Values from the calculation:
- DOS at the Fermi energy (states/eV per atom) = 0.710
- ΔE_f (raw) (eV/f.u.) = -0.2
- total DFT energy (no corrections) (eV/cell) = -44.337

abc: 4.2005 4.2005 24.1611
angles: 90.00 90.00 120.00
Closest atoms and distances in Å follow each position.
Space group R-3m (No. 166, hexagonal axes)
Inequivalent atoms, fractional coordinates:
1 Pb 0.0000 0.0000 0.0000  6 S 2.83
2 S 0.0000 0.0000 0.3937  1 I 2.57, 3 Pb 2.83
3 I 0.0000 0.0000 0.5000  2 S 2.57



5.
Material: Ba2SrB18
Method: DFT, GGA-PBEsol
State: optimized geometry

Values from the calculation:
- formation enthalpy at 0 K (eV/atom) = -0.4421
- DOS at the Fermi energy (states/eV per atom) = 0.028
- total DFT energy (no corrections) (eV/cell) = -141.718

abc: 4.2281 4.2281 12.6855
angles: 90.00 90.00 90.00
Closest atoms and distances in Å follow each position.
Space group P4/mmm (No. 123)
Inequivalent atoms, fractional coordinates:
1 Ba 0.0000 0.0000 0.1679  24 B 3.11-3.12
2 Sr 0.0000 0.0000 0.5000  24 B 3.09-3.11
3 B 0.2044 0.5000 0.0000  5 B 1.73-1.77
4 B 0.2040 0.5000 0.3358  5 B 1.72-1.78
5 B 0.5000 0.5000 0.0990  5 B 1.75-1.77
6 B 0.5000 0.5000 0.2366  5 B 1.75-1.78
7 B 0.5000 0.5000 0.4333  5 B 1.69-1.76



6.
Material: ZrCoTc
Method: DFT, GGA-PBEsol
State: optimized geometry

Values from the calculation:
- formation enthalpy at 0 K (eV/atom) = 0.2862
- DOS at the Fermi energy (states/eV per atom) = 1.477
- total DFT energy (no corrections) (eV/cell) = -108.938

abc: 5.8408 5.8408 5.8408
angles: 90.00 90.00 90.00
Closest atoms and distances in Å follow each position.
Space group F-43m (No. 216)
Inequivalent atoms, fractional coordinates:
1 Zr 0.0000 0.0000 0.0000  4 Co 2.53
2 Co 0.2500 0.2500 0.2500  4 Zr 2.53, 4 Tc 2.53
3 Tc 0.0000 0.0000 0.5000  4 Co 2.53



7.
Material: SrSc2Cl
Method: DFT, GGA-PBEsol
State: optimized geometry

Values from the calculation:
- DOS at the Fermi energy (states/eV per atom) = 1.152
- ΔE_f (raw) (eV/f.u.) = -1.3
- total DFT energy (no corrections) (eV/cell) = -18.329
- excess energy over the best structure of this formula in the dataset (meV per atom) = 127

abc: 3.4803 6.4324 4.9387
angles: 90.00 90.31 90.00
Closest atoms and distances in Å follow each position.
Space group P2/m (No. 10)
Inequivalent atoms, fractional coordinates:
1 Sr 0.0000 0.0000 0.0000  4 Cl 3.01-3.03
2 Sc 0.2740 0.5000 0.7600  3 Sc 2.84-3.05
3 Cl 0.5000 0.0000 0.5000  4 Sr 3.01-3.03



8.
Material: SrOs2Ru
Method: DFT, GGA-PBEsol
State: optimized geometry

Values from the calculation:
- formation enthalpy at 0 K (eV/atom) = 0.7260
- DOS at the Fermi energy (states/eV per atom) = 1.089
- total DFT energy (no corrections) (eV/cell) = -67.081
- excess energy over the best structure of this formula in the dataset (meV per atom) = 0

abc: 9.1024 2.8232 5.8661
angles: 90.00 100.49 90.00
Closest atoms and distances in Å follow each position.
Space group Cm (No. 8)
Inequivalent atoms, fractional coordinates:
1 Sr 0.0000 0.0000 0.0000  2 Sr 2.82, 3 Ru 2.97-3.10
2 Os 0.2292 0.0000 0.6383  2 Ru 2.51, 3 Os 2.55-2.65
3 Os 0.4948 0.0000 0.5135  5 Os 2.55-2.82, 2 Ru 2.60
4 Ru 0.2707 0.5000 0.3023  4 Os 2.51-2.60



9.
Material: MnCoTc2
Method: DFT, GGA-PBEsol
State: optimized geometry

Values from the calculation:
- formation enthalpy at 0 K (eV/atom) = 0.0557
- DOS at the Fermi energy (states/eV per atom) = 1.084
- total DFT energy (no corrections) (eV/cell) = -39.808
- excess energy over the best structure of this formula in the dataset (meV per atom) = 77

abc: 2.5909 2.5909 7.1822
angles: 90.00 90.00 90.00
Closest atoms and distances in Å follow each position.
Space group P4/mmm (No. 123)
Inequivalent atoms, fractional coordinates:
1 Mn 0.0000 0.0000 0.0000  8 Tc 2.55, 4 Mn 2.59
2 Co 0.0000 0.0000 0.5000  8 Tc 2.58, 4 Co 2.59
3 Tc 0.5000 0.5000 0.2476  4 Mn 2.55, 4 Co 2.58, 4 Tc 2.59



10.
Material: La5Sc3
Method: DFT, GGA-PBEsol
State: optimized geometry

Values from the calculation:
- formation enthalpy at 0 K (eV/atom) = 0.0526
- DOS at the Fermi energy (states/eV per atom) = 1.351
- total DFT energy (no corrections) (eV/cell) = -92.252

abc: 9.6112 9.8957 4.9959
angles: 90.00 90.00 90.00
Closest atoms and distances in Å follow each position.
Space group Cmmm (No. 65)
Inequivalent atoms, fractional coordinates:
1 La 0.0000 0.0000 0.0000  8 La 3.45-3.51, 4 Sc 3.55
2 La 0.2432 0.5000 0.5000  6 Sc 3.37-3.53, 6 La 3.51-3.52
3 La 0.2500 0.2500 0.0000  6 La 3.45-3.52, 6 Sc 3.45-3.47
4 Sc 0.0000 0.2548 0.5000  10 La 3.37-3.55, 2 Sc 3.48
5 Sc 0.0000 0.5000 0.0000  8 La 3.42-3.45, 4 Sc 3.48



11.
Material: BaB2Os
Method: DFT, GGA-PBEsol
State: optimized geometry

Values from the calculation:
- formation enthalpy at 0 K (eV/atom) = 1.7003
- DOS at the Fermi energy (states/eV per atom) = 1.597
- total DFT energy (no corrections) (eV/cell) = -86.386

abc: 6.2662 6.2662 6.2662
angles: 90.00 90.00 90.00
Closest atoms and distances in Å follow each position.
Space group Fm-3m (No. 225)
Inequivalent atoms, fractional coordinates:
1 Ba 0.0000 0.0000 0.0000  8 B 2.71
2 B 0.2500 0.2500 0.2500  4 Ba 2.71, 4 Os 2.71
3 Os 0.0000 0.0000 0.5000  8 B 2.71



12.
Material: AlCdPb2
Method: DFT, GGA-PBEsol
State: optimized geometry

Values from the calculation:
- formation enthalpy at 0 K (eV/atom) = 0.1664
- DOS at the Fermi energy (states/eV per atom) = 0.566
- total DFT energy (no corrections) (eV/cell) = -12.620

abc: 3.4168 3.4168 8.6000
angles: 90.00 90.00 90.00
Closest atoms and distances in Å follow each position.
Space group P4/mmm (No. 123)
Inequivalent atoms, fractional coordinates:
1 Al 0.0000 0.0000 0.0000  8 Pb 3.17, 4 Al 3.42
2 Cd 0.0000 0.0000 0.5000  8 Pb 3.30, 4 Cd 3.42
3 Pb 0.5000 0.5000 0.2383  4 Al 3.17, 4 Cd 3.30, 4 Pb 3.42



13.
Material: Rb2CuPdF6
Method: DFT, GGA-PBEsol
State: optimized geometry

Values from the calculation:
- DOS at the Fermi energy (states/eV per atom) = 0.221
- ΔE_f (raw) (eV/f.u.) = -19.8
- total DFT energy (no corrections) (eV/cell) = -174.868

abc: 8.2919 8.2919 8.2919
angles: 90.00 90.00 90.00
Closest atoms and distances in Å follow each position.
Space group Fm-3m (No. 225)
Inequivalent atoms, fractional coordinates:
1 Rb 0.2500 0.2500 0.2500  12 F 2.93
2 Cu 0.0000 0.0000 0.0000  6 F 2.02
3 Pd 0.0000 0.0000 0.5000  6 F 2.12
4 F 0.0000 0.0000 0.2438  1 Cu 2.02, 1 Pd 2.12



14.
Material: VCu3O4
Method: DFT, GGA-PBEsol
State: optimized geometry

Values from the calculation:
- DOS at the Fermi energy (states/eV per atom) = 0.138
- ΔE_f (raw) (eV/f.u.) = -9.5
- total DFT energy (no corrections) (eV/cell) = -106.170

abc: 4.4964 4.4964 8.8536
angles: 90.00 90.00 90.00
Closest atoms and distances in Å follow each position.
Space group I-42m (No. 121)
Inequivalent atoms, fractional coordinates:
1 V 0.0000 0.0000 0.0000  4 O 1.77
2 Cu 0.0000 0.0000 0.5000  4 O 2.01
3 Cu 0.0000 0.5000 0.2500  4 O 2.00
4 O 0.2271 0.2271 0.1146  1 V 1.77



15.
Material: CsFeBr4
Method: DFT, GGA-PBEsol
State: optimized geometry

Values from the calculation:
- ΔE_f (raw) (eV/f.u.) = -5.5
- total DFT energy (no corrections) (eV/cell) = -91.713

abc: 12.1341 7.3028 9.9377
angles: 90.00 90.00 90.00
Closest atoms and distances in Å follow each position.
Space group Pnma (No. 62)
Inequivalent atoms, fractional coordinates:
1 Cs 0.1841 0.2500 0.1520  8 Br 3.71-3.80
2 Fe 0.0572 0.2500 0.7057  4 Br 2.31-2.34
3 Br 0.0895 0.5071 0.8398  1 Fe 2.34
4 Br 0.1259 0.7500 0.3591  1 Fe 2.31
5 Br 0.1796 0.2500 0.5270  1 Fe 2.31



16.
Material: CaTl2Hg2
Method: DFT, GGA-PBEsol
State: optimized geometry

Values from the calculation:
- formation enthalpy at 0 K (eV/atom) = -0.1317
- DOS at the Fermi energy (states/eV per atom) = 0.472
- total DFT energy (no corrections) (eV/cell) = -18.372
- excess energy over the best structure of this formula in the dataset (meV per atom) = 87

abc: 4.6009 4.6009 12.9829
angles: 90.00 90.00 90.00
Closest atoms and distances in Å follow each position.
Space group I4/mmm (No. 139)
Inequivalent atoms, fractional coordinates:
1 Ca 0.0000 0.0000 0.0000  8 Tl 3.55, 8 Hg 3.98
2 Tl 0.0000 0.0000 0.3897  1 Tl 2.87, 4 Hg 2.93
3 Hg 0.0000 0.5000 0.2500  4 Tl 2.93, 4 Hg 3.25



17.
Material: TcTeP2
Method: DFT, GGA-PBEsol
State: optimized geometry

Values from the calculation:
- DOS at the Fermi energy (states/eV per atom) = 0.981
- ΔE_f (raw) (eV/f.u.) = 2.6
- total DFT energy (no corrections) (eV/cell) = -23.743

abc: 3.1238 4.4347 4.6704
angles: 90.00 90.00 90.00
Closest atoms and distances in Å follow each position.
Space group Pmmm (No. 47)
Inequivalent atoms, fractional coordinates:
1 Tc 0.0000 0.0000 0.0000  4 P 2.71, 4 Te 2.81
2 Te 0.5000 0.0000 0.5000  4 P 2.71, 4 Tc 2.81
3 P 0.0000 0.5000 0.5000  4 Te 2.71, 4 P 2.81
4 P 0.5000 0.5000 0.0000  4 Tc 2.71, 4 P 2.81



18.
Material: Li2TlIn
Method: DFT, GGA-PBEsol
State: optimized geometry

Values from the calculation:
- formation enthalpy at 0 K (eV/atom) = -0.2241
- DOS at the Fermi energy (states/eV per atom) = 0.321
- total DFT energy (no corrections) (eV/cell) = -10.443

abc: 3.6477 3.6477 6.1572
angles: 90.00 90.00 90.00
Closest atoms and distances in Å follow each position.
Space group P4mm (No. 99)
Inequivalent atoms, fractional coordinates:
1 Li 0.0000 0.0000 0.0000  4 In 2.92, 2 Tl 2.92-3.23, 4 Li 3.03
2 Li 0.5000 0.5000 0.2573  4 Tl 2.91, 2 In 2.95-3.21, 4 Li 3.03
3 Tl 0.0000 0.0000 0.4747  6 Li 2.91-3.23, 4 In 3.18
4 In 0.5000 0.5000 0.7780  6 Li 2.92-3.21, 4 Tl 3.18



19.
Material: RePBr2
Method: DFT, GGA-PBEsol
State: optimized geometry

Values from the calculation:
- DOS at the Fermi energy (states/eV per atom) = 1.000
- ΔE_f (raw) (eV/f.u.) = 4.6
- total DFT energy (no corrections) (eV/cell) = -72.949
- excess energy over the best structure of this formula in the dataset (meV per atom) = 860

abc: 6.4695 6.4695 6.4695
angles: 90.00 90.00 90.00
Closest atoms and distances in Å follow each position.
Space group F-43m (No. 216)
Inequivalent atoms, fractional coordinates:
1 Re 0.0000 0.0000 0.0000  4 Br 2.80, 4 P 2.80
2 P 0.2500 0.2500 0.2500  4 Br 2.80, 4 Re 2.80
3 Br 0.0000 0.0000 0.5000  4 Br 2.80, 4 P 2.80
4 Br 0.2500 0.2500 0.7500  4 Re 2.80, 4 Br 2.80



20.
Material: AgSbTe2
Method: DFT, GGA-PBEsol
State: optimized geometry

Values from the calculation:
- DOS at the Fermi energy (states/eV per atom) = 0.334
- ΔE_f (raw) (eV/f.u.) = -0.3
- total DFT energy (no corrections) (eV/cell) = -244.140

abc: 11.9873 11.9873 11.9873
angles: 90.00 90.00 90.00
Closest atoms and distances in Å follow each position.
Space group Fd-3m (No. 227, origin choice 2)
Inequivalent atoms, fractional coordinates:
1 Ag 0.0000 0.0000 0.0000  6 Te 2.93
2 Sb 0.0000 0.0000 0.5000  6 Te 3.07
3 Te 0.0059 0.0059 0.2441  3 Ag 2.93, 3 Sb 3.07